No. 1
ZnMo3: relaxed, PBE-GGA.

Values from the calculation:
- ΔE to the lowest computed polymorph (meV per atom) = 215
- density of states at the Fermi level (states/eV/f.u.) = 3.500
- E_form (eV per formula unit) = 0.988
- calculated density (g/cm³) = 9.377
- total magnetic moment (μB/atom) = 0.000

a = 2.6554 Å, b = 2.6554 Å, c = 8.8709 Å
α = 90.00°, β = 90.00°, γ = 90.00°
Closest atoms and distances in Å follow each position.
Space group P4/mmm (No. 123)
Symmetry-distinct sites (fractional):
Zn  0.0000  0.0000  0.0000 (multiplicity 1)  4 Zn 2.66, 8 Mo 2.83
Mo  0.0000  0.0000  0.5000 (multiplicity 1)  4 Mo 2.66
Mo  0.5000  0.5000  0.2382 (multiplicity 2)  4 Mo 2.66, 4 Zn 2.83

No. 2
Mg3TaAu: relaxed, PBE-GGA.

Values from the calculation:
- ΔE to the lowest computed polymorph (meV per atom) = 677
- density of states at the Fermi level (states/eV/f.u.) = 3.744
- E_form (eV per formula unit) = 6.979
- calculated density (g/cm³) = 4.757
- total magnetic moment (μB/atom) = 0.693

a = 5.3991 Å, b = 5.3991 Å, c = 5.3991 Å
α = 90.00°, β = 90.00°, γ = 90.00°
Closest atoms and distances in Å follow each position.
Space group Pm-3m (No. 221)
Symmetry-distinct sites (fractional):
Mg  0.0000  0.0000  0.5000 (multiplicity 3)  2 Ta 2.70
Ta  0.0000  0.0000  0.0000 (multiplicity 1)  6 Mg 2.70
Au  0.5000  0.5000  0.5000 (multiplicity 1)  12 Mg 3.82

No. 3
AcTbPm3Tm: relaxed, PBE-GGA.

Values from the calculation:
- density of states at the Fermi level (states/eV/f.u.) = 9.848
- E_form (eV per formula unit) = 0.256
- calculated density (g/cm³) = 7.851
- total magnetic moment (μB/atom) = 0.000

a = 8.1932 Å, b = 5.1989 Å, c = 10.3775 Å
α = 90.00°, β = 108.68°, γ = 90.00°
Closest atoms and distances in Å follow each position.
Space group P2_1/m (No. 11)
Symmetry-distinct sites (fractional):
Ac  0.1710  0.2500  0.2932 (multiplicity 2)  3 Tm 3.64-3.66, 1 Tb 3.69, 8 Pm 3.69-3.73
Tb  0.4963  0.7500  0.8764 (multiplicity 2)  7 Pm 3.57-3.65, 2 Tb 3.64, 2 Tm 3.66, 1 Ac 3.69
Pm  0.1731  0.7500  0.0399 (multiplicity 2)  3 Tb 3.57-3.65, 1 Tm 3.64, 5 Pm 3.65-3.77, 3 Ac 3.69-3.70
Pm  0.1729  0.7500  0.5472 (multiplicity 2)  1 Tb 3.59, 3 Tm 3.62-3.71, 5 Pm 3.64-3.76, 3 Ac 3.70
Pm  0.1738  0.2500  0.7932 (multiplicity 2)  1 Tm 3.59, 3 Tb 3.61-3.62, 6 Pm 3.64-3.77, 2 Ac 3.73
Tm  0.4974  0.2500  0.6278 (multiplicity 2)  5 Pm 3.59-3.71, 3 Ac 3.64-3.66, 2 Tb 3.66, 2 Tm 3.72

No. 4
K2PuTlO6: relaxed, PBE-GGA.

Values from the calculation:
- E_form (uncorrected) (eV/atom) = -1.797
- calculated density (g/cm³) = 6.536
- total magnetic moment (μB/atom) = 0.100

a = 6.0724 Å, b = 6.0724 Å, c = 8.5795 Å
α = 90.00°, β = 90.00°, γ = 90.00°
Closest atoms and distances in Å follow each position.
Space group I4/mmm (No. 139)
Symmetry-distinct sites (fractional):
K  0.0000  0.5000  0.2500 (multiplicity 4)  12 O 3.04
Pu  0.0000  0.0000  0.0000 (multiplicity 2)  6 O 2.01-2.02
Tl  0.0000  0.0000  0.5000 (multiplicity 2)  6 O 2.27-2.28
O  0.0000  0.0000  0.2350 (multiplicity 4)  1 Pu 2.02
O  0.2343  0.2343  0.0000 (multiplicity 8)  1 Pu 2.01

> What is the total magnetic moment in the second record?

0.693 μB/atom

Repeat the fourth record exactly.
K2PuTlO6: relaxed, PBE-GGA.

Values from the calculation:
- E_form (uncorrected) (eV/atom) = -1.797
- calculated density (g/cm³) = 6.536
- total magnetic moment (μB/atom) = 0.100

a = 6.0724 Å, b = 6.0724 Å, c = 8.5795 Å
α = 90.00°, β = 90.00°, γ = 90.00°
Closest atoms and distances in Å follow each position.
Space group I4/mmm (No. 139)
Symmetry-distinct sites (fractional):
K  0.0000  0.5000  0.2500 (multiplicity 4)  12 O 3.04
Pu  0.0000  0.0000  0.0000 (multiplicity 2)  6 O 2.01-2.02
Tl  0.0000  0.0000  0.5000 (multiplicity 2)  6 O 2.27-2.28
O  0.0000  0.0000  0.2350 (multiplicity 4)  1 Pu 2.02
O  0.2343  0.2343  0.0000 (multiplicity 8)  1 Pu 2.01

> Which value of total magnetic moment does entry 1 give?

0.000 μB/atom